No. 1
LiSb3Cl9: relaxed, PBE-GGA.

Summary:
Total magnetic moment ... 0.08 μB/atom
Space group ... No. 9
Total energy ... -42.5 eV per formula unit
Theoretical density ... 2.118 g/cm3

Cell and atoms, written as POSCAR:
```
LiSb3Cl9
1.0
9.613 0.000 4.045
3.199 10.794 5.843
0.635 2.930 11.936
Sb Cl Li
6 18 2
direct
0.309 0.381 0.318
0.468 0.677 0.331
0.108 0.103 0.212
0.992 0.881 0.818
0.577 0.603 0.712
0.525 0.177 0.831
0.377 0.889 0.109
0.249 0.542 0.053
0.841 0.706 0.076
0.063 0.700 0.778
0.788 0.008 0.705
0.946 0.942 0.391
0.541 0.808 0.711
0.721 0.442 0.891
0.458 0.200 0.278
0.053 0.172 0.001
0.625 0.389 0.609
0.940 0.308 0.211
0.773 0.672 0.501
0.498 0.508 0.205
0.396 0.803 0.438
0.378 0.206 0.576
0.363 0.303 0.938
0.156 0.042 0.553
0.028 0.526 0.055
0.390 0.026 0.555
```

No. 2
Li2SbCl: relaxed, PBE-GGA.

Summary:
Total magnetic moment ... 0.00 μB/atom
Space group ... No. 139
Theoretical density ... 3.392 g/cm3
Energy relative to the lowest polymorph listed for this composition ... 0.589 eV/atom

Cell and atoms, written as POSCAR:
```
Li2SbCl
1.0
5.167 0.000 0.000
1.156 5.036 0.000
-3.161 -2.518 3.219
Sb Cl Li
1 1 2
direct
0.250 0.750 0.500
0.750 0.250 0.500
0.500 0.500 0.000
0.000 0.000 0.000
```